This record from the Alexandria database describes a relaxed structure of CsPmCoO4. The functional is GGA+U.

Computed properties:
- Space group: P2_1/m
- Total DFT energy (no corrections): -6.247 eV per atom
- Theoretical density: 4.85 g cm⁻³

a b c (Å): 5.7913 5.8967 9.7129
angles (deg): 90.00 124.17 90.00
Each line ends with the local moment (μB).
Fractional coordinates of all 14 atoms:
Cs1 0.6423 0.7500 0.8973  0.01
Cs2 0.3577 0.2500 0.1027  0.01
Pm1 0.7666 0.7500 0.4652  0.02
Pm2 0.2334 0.2500 0.5348  0.02
Co1 0.1484 0.7500 0.3410  3.10
Co2 0.8516 0.2500 0.6590  3.10
O1 0.0662 0.4851 0.6696  0.32
O2 0.9338 0.9851 0.3304  0.32
O3 0.9338 0.5149 0.3304  0.32
O4 0.0662 0.0149 0.6696  0.32
O5 0.2909 0.7500 0.2202  0.43
O6 0.7091 0.2500 0.7798  0.43
O7 0.4540 0.7500 0.5497  0.44
O8 0.5460 0.2500 0.4503  0.44